AgBiRuO2 after structural relaxation. Source: Alexandria via LeMat-Bulk, functional PBE.

Results
Crystal system: tetragonal
Magnetic moment: 0.00 Bohr magnetons per cell
Raw formation energy: -0.12 eV per atom

Lattice parameters (Å, degrees): 3.8950 5.6681 3.8950 90.00 90.00 90.00
Fractional coordinates of all 5 atoms:
O 0.0000 0.0000 0.5000
O 0.5000 0.0000 0.0000
Ru 0.0000 0.0000 0.0000
Bi 0.5000 0.5000 0.5000
Ag 0.0000 0.5000 0.0000


Nb4SnC after structural relaxation. Source: Alexandria via LeMat-Bulk, functional PBE.

Results
Crystal system: monoclinic
Calculated formation energy: -56 meV/atom
Magnetic moment: 0.00 Bohr magnetons per cell

Lattice parameters (Å, degrees): 5.4001 6.7895 7.1670 111.08 103.50 107.62
Fractional coordinates of all 12 atoms:
Nb 0.2840 0.9073 0.5725
Nb 0.0576 0.8688 0.1188
Nb 0.2116 0.3348 0.4275
Nb 0.4387 0.7500 0.8812
Nb 0.7160 0.0927 0.4275
Nb 0.7884 0.6652 0.5725
Nb 0.9424 0.1312 0.8812
Nb 0.5613 0.2500 0.1188
Sn 0.3514 0.6014 0.2028
Sn 0.6486 0.3986 0.7972
C 0.8149 0.0649 0.1299
C 0.1851 0.9351 0.8701


Tm4BiPb2 after structural relaxation. Source: Alexandria via LeMat-Bulk, functional PBE.

Results
Crystal system: monoclinic
Calculated formation energy: -417 meV/atom
ΔE to the lowest computed polymorph: 0.824 eV/f.u.
Magnetic moment: 0.00 Bohr magnetons per cell

Lattice parameters (Å, degrees): 6.1606 6.5582 10.2338 90.00 99.00 90.00
Fractional coordinates of all 14 atoms:
Tm 0.5722 0.5026 0.2688
Tm 0.9685 0.7500 0.8284
Tm 0.0315 0.2500 0.1716
Tm 0.5722 0.9974 0.2688
Tm 0.8660 0.2500 0.5477
Tm 0.4278 0.0026 0.7312
Tm 0.4278 0.4974 0.7312
Tm 0.1340 0.7500 0.4523
Bi 0.0487 0.7500 0.1532
Bi 0.9513 0.2500 0.8468
Pb 0.5086 0.7500 0.9929
Pb 0.4914 0.2500 0.0071
Pb 0.3176 0.2500 0.4607
Pb 0.6824 0.7500 0.5393